--- a ---
Density functional theory data (PBE with a Hubbard U) for a relaxed structure of Li3P3W2O12.

Summary:
- DOS(E_F): 0.00 states/eV/cell
- Total magnetization: 6.0 μB/f.u.
- Crystal system: monoclinic

```
Li3P3W2O12
1.0
8.715 0.000 0.000
0.000 9.046 0.000
-8.655 0.000 12.435
Li P W O
12 12 8 48
Cartesian
-0.592 0.176 1.847
-4.919 4.347 8.064
-5.861 2.027 10.200
-1.533 2.496 3.983
-3.583 0.863 8.520
0.745 3.660 2.303
-0.685 5.386 10.132
3.643 8.183 3.915
1.593 6.550 8.452
5.921 7.019 2.234
4.979 4.699 4.370
0.652 8.870 10.588
-8.255 2.250 12.294
-3.927 2.273 6.077
-0.987 5.463 4.341
-5.315 8.106 10.559
0.990 1.042 4.286
-3.338 3.481 10.504
3.398 5.565 1.931
-0.930 8.004 8.148
5.375 0.940 1.876
1.047 3.583 8.093
3.987 6.773 6.358
8.315 6.796 0.140
-6.418 4.892 11.075
-2.091 8.676 4.858
-2.098 4.815 7.556
2.229 8.754 1.339
-2.169 0.292 11.096
2.158 4.231 4.878
2.151 0.369 7.577
6.478 4.154 1.359
-4.728 1.188 6.822
-0.400 3.335 0.605
-2.662 1.654 5.429
-6.989 2.869 11.647
-5.847 6.740 10.046
-1.520 6.829 3.829
-5.377 0.117 9.389
-1.050 4.406 3.172
-3.937 6.015 7.454
0.390 7.554 1.236
0.832 1.279 0.996
-3.496 3.244 7.213
-2.022 4.939 5.392
-6.349 8.630 11.609
-0.469 0.655 3.804
-4.796 3.868 10.021
3.241 5.334 0.445
-1.087 8.235 6.662
-3.271 1.951 10.193
1.057 2.572 3.976
0.431 5.524 4.889
-3.897 8.045 11.107
2.372 4.726 2.742
-1.956 8.843 8.960
2.015 0.203 3.475
-2.312 4.320 9.692
3.957 1.001 1.328
-0.371 3.522 7.545
-0.997 6.474 8.459
3.331 7.095 2.242
1.147 0.811 5.772
-3.181 3.712 11.990
4.856 5.178 2.413
0.529 8.391 8.630
6.409 0.416 0.825
2.082 4.107 7.042
3.556 5.802 5.222
-0.772 7.767 11.439
-0.330 1.492 11.198
3.997 3.031 4.981
1.110 4.640 9.262
5.437 8.929 3.045
1.580 2.217 8.606
5.907 2.306 2.388
7.049 6.177 0.788
2.722 7.392 7.005
0.460 5.711 11.830
4.788 7.858 5.612
```


--- b ---
Density functional theory data (PBE with a Hubbard U) for a relaxed structure of Li3P3W2O12.

Summary:
- DOS(E_F): 0.00 states/eV/cell
- Total magnetization: 6.0 μB/f.u.
- Crystal system: trigonal

```
Li3P3W2O12
1.0
4.328 2.499 7.846
-4.328 2.499 7.846
0.000 -4.998 7.846
Li P W O
6 6 4 24
Cartesian
-2.600 0.192 10.656
-1.466 -2.156 12.880
1.134 -2.348 10.656
-1.134 2.348 12.880
1.466 2.156 10.657
2.600 -0.192 12.880
-1.781 -2.477 9.852
-3.036 0.304 13.685
-1.255 2.781 9.852
1.255 -2.781 13.685
3.036 -0.304 9.852
1.781 2.477 13.685
0.000 0.000 3.585
0.000 0.000 8.348
0.000 0.000 15.189
0.000 0.000 19.952
-1.484 -3.946 10.263
-4.160 -0.688 13.274
-2.538 -1.776 11.066
-1.716 -0.093 7.092
-0.452 -1.683 9.702
-2.807 1.311 12.471
0.939 -1.440 7.092
-2.675 3.258 10.263
-1.232 1.233 9.702
0.268 -3.086 12.471
-1.684 -0.450 13.835
0.777 1.533 7.092
-0.777 -1.533 16.445
1.684 0.450 9.702
-0.268 3.086 11.066
1.232 -1.233 13.835
2.675 -3.258 13.274
-0.939 1.440 16.445
2.807 -1.311 11.066
0.452 1.683 13.835
1.716 0.093 16.445
2.538 1.776 12.471
4.160 0.688 10.263
1.484 3.946 13.274
```


Which structure wins on stability? b wins.


--- a ---
Density functional theory data (PBE with a Hubbard U) for a relaxed structure of Li2PWO6.

Summary:
- DOS(E_F): 1.94 states/eV/cell
- Total magnetization: 1.0 μB/f.u.
- Crystal system: tetragonal

```
Li2PWO6
1.0
5.079 0.000 0.000
0.000 5.079 0.000
0.000 0.000 4.092
Li P W O
2 1 1 6
Cartesian
0.000 2.539 0.000
2.539 0.000 0.000
0.000 0.000 2.400
2.539 2.539 2.660
0.000 0.000 0.887
1.149 1.149 2.854
1.149 3.930 2.854
2.539 2.539 0.678
3.930 1.149 2.854
3.930 3.930 2.854
```


--- b ---
Density functional theory data (PBE with a Hubbard U) for a relaxed structure of Li2PWO6.

Summary:
- DOS(E_F): 0.00 states/eV/cell
- Total magnetization: 1.0 μB/f.u.
- Crystal system: monoclinic

```
Li2PWO6
1.0
6.794 -5.031 0.000
6.794 5.031 0.000
-1.808 0.000 6.976
Li P W O
8 4 4 24
Cartesian
5.438 4.883 5.232
4.213 2.998 2.907
8.471 2.998 0.581
6.342 1.010 1.744
5.438 -1.010 5.232
3.309 -2.998 6.395
7.567 -2.998 4.069
6.342 -4.883 1.744
3.512 3.125 6.687
7.363 3.125 3.777
4.417 -3.125 3.199
8.267 -3.125 0.289
3.162 0.040 2.550
2.258 -0.040 6.038
9.522 0.040 0.938
8.617 -0.040 4.426
1.963 1.484 1.713
0.516 1.250 6.120
4.956 3.588 6.845
5.919 3.588 3.619
2.341 0.782 4.244
3.351 1.585 6.843
1.421 -1.250 2.632
4.655 1.044 2.651
1.059 -1.484 5.201
3.245 -0.782 0.756
7.524 1.585 3.621
3.750 -1.044 6.139
8.029 1.044 0.838
4.255 -1.585 3.355
8.535 0.782 6.220
10.721 1.484 1.775
7.125 -1.044 4.326
10.359 1.250 4.344
8.428 -1.585 0.133
9.439 -0.782 2.732
5.861 -3.588 3.357
6.823 -3.588 0.131
11.263 -1.250 0.856
9.816 -1.484 5.263
```


Which structure wins on stability? b wins.


--- a ---
Density functional theory data (PBE with a Hubbard U) for a relaxed structure of LiPWO5.

Summary:
- DOS(E_F): 0.00 states/eV/cell
- Total magnetization: 2.0 μB/f.u.
- Crystal system: triclinic

```
LiPWO5
1.0
5.523 0.000 0.000
-0.453 5.518 0.000
-2.477 -2.686 6.511
Li P W O
2 2 2 10
Cartesian
0.384 1.264 1.349
2.209 1.568 5.162
-1.239 -0.046 4.936
3.832 2.878 1.575
2.761 0.000 0.000
1.523 -1.343 3.255
-0.277 2.960 2.236
-1.336 1.378 5.579
-1.125 -1.129 6.040
-0.097 -0.116 3.925
1.626 -0.144 1.648
0.967 2.976 4.863
2.690 2.948 2.586
3.718 3.961 0.470
3.929 1.454 0.931
2.870 -0.128 4.275
```


--- b ---
Density functional theory data (PBE with a Hubbard U) for a relaxed structure of LiPWO5.

Summary:
- DOS(E_F): 0.00 states/eV/cell
- Total magnetization: 2.0 μB/f.u.
- Crystal system: monoclinic

```
LiPWO5
1.0
7.010 -2.731 0.000
7.010 2.731 0.000
-4.274 0.000 9.990
Li P W O
4 4 4 20
Cartesian
0.000 0.000 0.000
-2.137 0.000 4.995
3.505 1.365 0.000
1.368 -1.365 4.995
3.923 0.034 3.102
1.786 -0.034 8.097
7.961 0.034 1.893
5.824 -0.034 6.888
1.368 1.365 4.995
3.805 2.698 7.493
3.505 -1.365 0.000
5.942 -2.698 2.498
-0.067 0.188 4.228
-2.204 -0.188 9.224
4.755 1.308 3.411
2.550 1.266 8.428
3.526 0.049 1.606
2.692 0.066 4.047
1.389 -0.049 6.601
7.129 1.308 1.584
0.555 -0.066 9.042
5.060 1.266 6.558
4.687 -1.266 3.433
9.191 0.066 0.948
2.618 -1.308 8.406
8.358 0.049 3.389
7.055 -0.066 5.943
6.221 -0.049 8.384
7.197 -1.266 1.563
4.992 -1.308 6.579
11.951 0.188 0.767
9.814 -0.188 5.762
```


Which structure wins on stability? a wins.


--- a ---
Density functional theory data (PBE with a Hubbard U) for a relaxed structure of LiP2WO8.

Summary:
- DOS(E_F): 0.00 states/eV/cell
- Total magnetization: 1.0 μB/f.u.
- Crystal system: monoclinic

```
LiP2WO8
1.0
4.224 -2.670 0.000
4.224 2.670 0.000
-1.515 0.000 7.776
Li P W O
1 2 1 8
Cartesian
0.000 0.000 0.000
2.206 0.000 2.285
4.727 0.000 5.490
-0.757 0.000 3.888
3.130 1.254 2.512
1.585 0.000 0.936
1.179 0.000 3.474
3.803 1.254 5.263
3.130 -1.254 2.512
5.754 0.000 4.302
5.349 0.000 6.840
3.803 -1.254 5.263
```


--- b ---
Density functional theory data (PBE with a Hubbard U) for a relaxed structure of LiP2WO8.

Summary:
- DOS(E_F): 0.00 states/eV/cell
- Total magnetization: 1.0 μB/f.u.
- Crystal system: orthorhombic

```
LiP2WO8
1.0
5.189 0.000 0.000
0.000 11.324 0.000
0.000 0.000 11.397
Li P W O
4 8 4 32
Cartesian
1.056 2.728 1.032
1.539 8.596 6.731
3.650 2.934 10.364
4.134 8.390 4.666
1.062 6.820 10.898
1.258 7.121 3.863
1.337 4.203 9.561
1.533 4.504 5.200
3.657 10.166 0.499
3.852 9.865 7.534
3.931 1.459 1.835
4.127 1.158 6.197
1.185 10.231 9.682
1.410 1.093 3.983
3.779 6.755 1.715
4.004 4.569 7.413
0.115 9.522 7.975
0.236 7.442 2.766
0.353 0.791 5.723
0.523 4.757 6.311
0.854 7.786 5.156
1.149 8.192 10.278
1.205 5.515 3.993
1.273 0.565 9.152
1.321 10.759 3.454
1.389 5.809 9.692
1.446 3.131 4.580
1.741 3.538 10.855
2.072 6.567 0.613
2.242 10.532 0.025
2.358 3.882 8.465
2.479 1.802 2.277
2.710 7.464 3.422
2.831 9.543 8.630
2.947 4.870 5.674
3.117 0.905 5.086
3.449 9.200 6.240
3.743 8.793 1.118
3.800 0.147 7.403
3.868 5.097 2.245
3.916 6.227 7.943
3.984 11.177 1.705
4.040 2.531 6.817
4.335 2.124 0.542
4.666 10.419 10.784
4.836 6.453 11.372
4.953 1.780 2.932
5.074 3.860 9.120
```


--- c ---
Density functional theory data (PBE with a Hubbard U) for a relaxed structure of LiP2WO8.

Summary:
- DOS(E_F): 0.00 states/eV/cell
- Total magnetization: 1.0 μB/f.u.
- Crystal system: monoclinic

```
LiP2WO8
1.0
5.365 0.000 0.000
0.000 6.992 0.000
-0.001 0.000 7.972
Li P W O
2 4 2 16
Cartesian
0.333 0.000 1.991
5.032 3.496 5.981
1.360 1.333 4.512
1.360 5.642 7.445
4.005 2.146 0.527
4.005 4.830 3.459
1.331 3.488 1.993
4.033 6.984 5.978
0.117 1.329 5.511
0.118 5.645 6.444
1.321 6.746 0.458
1.323 0.230 3.526
1.334 2.777 3.888
1.334 4.198 0.098
2.616 1.279 5.458
2.618 5.697 6.502
2.747 2.201 1.470
2.748 4.775 2.514
4.030 0.702 7.873
4.031 6.274 4.084
4.042 3.726 4.445
4.043 3.250 7.514
5.246 2.148 1.528
5.248 4.825 2.460
```


Which structure wins on stability? a wins.